First-principles (PBE-GGA) data for a geometry-optimized LiPrTlBi structure, as listed in Alexandria.

Results
- Density of states at the Fermi level: 2.3 states/eV per cell
- Crystal system: cubic
- Symmetry: No. 216
- E_form: -378 meV/atom
- Total magnetic moment: 0.00 μB/f.u.
- E_tot: -14.45 eV for the cell shown

a = 5.4348 Å, b = 5.4348 Å, c = 5.4348 Å
α = 60.00°, β = 60.00°, γ = 60.00°
Last column: nearest neighbours and their distance in Å.
Fractional coordinates of all 4 atoms:
1 Li 0.0000 0.0000 0.0000  4 Tl 3.33, 4 Bi 3.33
2 Pr 0.5000 0.5000 0.5000  4 Tl 3.33, 4 Bi 3.33
3 Tl 0.7500 0.7500 0.7500  4 Li 3.33, 4 Pr 3.33
4 Bi 0.2500 0.2500 0.2500  4 Pr 3.33, 4 Li 3.33


First-principles (PBE-GGA) data for a geometry-optimized LiPrTmBi structure, as listed in Alexandria.

Results
- Density of states at the Fermi level: 4.7 states/eV per cell
- Crystal system: cubic
- Symmetry: No. 216
- E_form: -300 meV/atom
- Total magnetic moment: 0.00 μB/f.u.
- E_tot: -16.24 eV for the cell shown

a = 5.3830 Å, b = 5.3830 Å, c = 5.3830 Å
α = 60.00°, β = 60.00°, γ = 60.00°
Last column: nearest neighbours and their distance in Å.
Fractional coordinates of all 4 atoms:
1 Li 0.0000 0.0000 0.0000  4 Pr 3.30, 4 Tm 3.30
2 Pr 0.2500 0.2500 0.2500  4 Bi 3.30, 4 Li 3.30
3 Tm 0.7500 0.7500 0.7500  4 Li 3.30, 4 Bi 3.30
4 Bi 0.5000 0.5000 0.5000  4 Pr 3.30, 4 Tm 3.30